(A)
Computed, not measured: ScFeHRh2 after structural relaxation at the PBE-GGA level of DFT.

The density of states at the Fermi level comes out at 5.6 states/eV/f.u. As for the space group: P4/mmm. The value obtained for the total magnetic moment is 0.687 μB/atom.

Structure (extended XYZ):
```
5
Lattice="3.978 0.000 0.000 0.000 3.978 0.000 0.000 0.000 3.949" Properties=species:S:1:pos:R:3 pbc="T T T"
Rh 1.989 0.000 0.000
Rh 0.000 1.989 0.000
H 0.000 0.000 0.000
Sc 0.000 0.000 1.975
Fe 1.989 1.989 1.975
```

=====

(B)
Computed, not measured: ScFeHRh2 after structural relaxation at the PBE-GGA level of DFT.

The density of states at the Fermi level comes out at 7.8 states/eV/f.u. As for the space group: P4/mmm. The value obtained for the total magnetic moment is 0.000 μB/atom.

Structure (extended XYZ):
```
5
Lattice="-3.409 1.746 -1.059 -1.152 -3.346 -1.808 -1.603 -1.182 3.209" Properties=species:S:1:pos:R:3 pbc="T T T"
Rh -1.704 0.873 -0.530
Rh -0.576 -1.673 -0.904
H 0.000 0.000 0.000
Sc -3.082 -1.391 0.171
Fe -0.801 -0.591 1.604
```

=====

Stability, highest: (A)

=====

(A)
Computed, not measured: Ta2FeHRh after structural relaxation at the PBE-GGA level of DFT.

The density of states at the Fermi level comes out at 4.9 states/eV/f.u. As for the space group: P4/mmm. The value obtained for the total magnetic moment is 0.195 μB/atom.

Structure (extended XYZ):
```
5
Lattice="-3.378 1.676 1.619 -0.755 -3.484 2.033 2.030 1.267 2.924" Properties=species:S:1:pos:R:3 pbc="T T T"
H 0.000 0.000 0.000
Fe -1.051 -0.271 3.288
Ta -1.689 0.838 0.809
Ta -0.377 -1.742 1.017
Rh 1.015 0.633 1.462
```

=====

(B)
Computed, not measured: Ta2FeHRh after structural relaxation at the PBE-GGA level of DFT.

The density of states at the Fermi level comes out at 4.1 states/eV/f.u. As for the space group: P4/mmm. The value obtained for the total magnetic moment is 0.000 μB/atom.

Structure (extended XYZ):
```
5
Lattice="4.130 0.000 0.000 0.000 4.130 0.000 0.000 0.000 3.664" Properties=species:S:1:pos:R:3 pbc="T T T"
Rh 2.065 2.065 1.832
Ta 2.065 0.000 0.000
Ta 0.000 2.065 0.000
Fe 0.000 0.000 1.832
H 0.000 0.000 0.000
```

=====

Stability, highest: (B)

=====

(A)
Computed, not measured: FeTcHRh2 after structural relaxation at the PBE-GGA level of DFT.

The density of states at the Fermi level comes out at 5.3 states/eV/f.u. As for the space group: P4/mmm. The value obtained for the total magnetic moment is 0.402 μB/atom.

Structure (extended XYZ):
```
5
Lattice="3.840 0.000 0.000 0.000 3.840 0.000 0.000 0.000 3.858" Properties=species:S:1:pos:R:3 pbc="T T T"
Fe 0.000 0.000 1.929
H 0.000 0.000 0.000
Rh 0.000 1.920 0.000
Rh 1.920 0.000 0.000
Tc 1.920 1.920 1.929
```

=====

(B)
Computed, not measured: FeTcHRh2 after structural relaxation at the PBE-GGA level of DFT.

The density of states at the Fermi level comes out at 4.5 states/eV/f.u. As for the space group: P4/mmm. The value obtained for the total magnetic moment is 0.508 μB/atom.

Structure (extended XYZ):
```
5
Lattice="-3.592 0.826 1.115 0.662 -1.700 3.391 1.236 3.400 1.464" Properties=species:S:1:pos:R:3 pbc="T T T"
Rh -1.796 0.413 0.558
Rh 0.331 -0.850 1.695
Tc 0.618 1.700 0.732
H 0.000 0.000 0.000
Fe -0.847 1.263 2.985
```

=====

Stability, highest: (B)

=====

(A)
Computed, not measured: TiFeHRh2 after structural relaxation at the PBE-GGA level of DFT.

The density of states at the Fermi level comes out at 4.4 states/eV/f.u. As for the space group: P4/mmm. The value obtained for the total magnetic moment is 0.493 μB/atom.

Structure (extended XYZ):
```
5
Lattice="3.920 0.000 0.000 0.000 3.920 0.000 0.000 0.000 3.756" Properties=species:S:1:pos:R:3 pbc="T T T"
H 0.000 0.000 0.000
Ti 1.960 1.960 1.878
Rh 1.960 0.000 0.000
Rh 0.000 1.960 0.000
Fe 0.000 0.000 1.878
```

=====

(B)
Computed, not measured: TiFeHRh2 after structural relaxation at the PBE-GGA level of DFT.

The density of states at the Fermi level comes out at 3.5 states/eV/f.u. As for the space group: P4/mmm. The value obtained for the total magnetic moment is 0.519 μB/atom.

Structure (extended XYZ):
```
5
Lattice="-3.406 -1.340 1.298 1.840 -1.967 2.798 -0.307 3.056 2.350" Properties=species:S:1:pos:R:3 pbc="T T T"
Rh -1.703 -0.670 0.649
Rh 0.920 -0.983 1.399
Fe -0.937 -0.125 3.223
H 0.000 0.000 0.000
Ti -0.153 1.528 1.175
```

=====

(C)
Computed, not measured: TiFeHRh2 after structural relaxation at the PBE-GGA level of DFT.

The density of states at the Fermi level comes out at 3.2 states/eV/f.u. As for the space group: P4/mmm. The value obtained for the total magnetic moment is 0.573 μB/atom.

Structure (extended XYZ):
```
5
Lattice="4.712 0.000 0.000 0.000 2.979 0.000 0.000 0.000 4.712" Properties=species:S:1:pos:R:3 pbc="T T T"
Rh 2.356 0.000 0.000
Rh 0.000 0.000 2.356
Fe 0.000 0.000 0.000
Ti 2.356 1.489 2.356
H 0.000 1.489 0.000
```

=====

Stability, highest: (A)